(1)
An optimized crystal structure of Pa2PRu6C. Source: the Alexandria database, functional PBE.

Summary:
size of the total moment = 0.000 μB/cell
density of states at the Fermi level = 3.7 states/eV/cell
space group = P4/mmm, No. 123
ΔE_f = -0.29 eV per atom

Cell lengths 4.3288, 4.3288, 8.5170 Å; angles 90.00, 90.00, 90.00 degrees
Element x y z (fractional)
Pa 0.0000 0.0000 0.2412
Pa 0.0000 0.0000 0.7588
P 0.5000 0.5000 0.5000
Ru 0.0000 0.5000 0.0000
Ru 0.0000 0.5000 0.5000
Ru 0.5000 0.0000 0.0000
Ru 0.5000 0.0000 0.5000
Ru 0.5000 0.5000 0.2323
Ru 0.5000 0.5000 0.7677
C 0.5000 0.5000 0.0000


(2)
An optimized crystal structure of PaPRuC. Source: the Alexandria database, functional PBE.

Summary:
size of the total moment = 0.000 μB/cell
density of states at the Fermi level = 5.2 states/eV/cell
space group = P4/nmm, No. 129
ΔE_f = -0.69 eV per atom

Cell lengths 3.8840, 3.8840, 8.0040 Å; angles 90.00, 90.00, 90.00 degrees
Element x y z (fractional)
Pa 0.2500 0.2500 0.1670
Pa 0.7500 0.7500 0.8330
P 0.2500 0.2500 0.6569
P 0.7500 0.7500 0.3431
Ru 0.2500 0.7500 0.5000
Ru 0.7500 0.2500 0.5000
C 0.2500 0.2500 0.8799
C 0.7500 0.7500 0.1201


(3)
An optimized crystal structure of Pa4PCS2. Source: the Alexandria database, functional PBE.

Summary:
size of the total moment = 0.001 μB/cell
density of states at the Fermi level = 7.8 states/eV/cell
space group = P2/m, No. 10
formation energy from raw total energies = -1253 meV per atom

Cell lengths 6.6902, 3.7647, 6.7475 Å; angles 90.00, 108.21, 90.00 degrees
Element x y z (fractional)
Pa 0.2258 0.0000 0.2250
Pa 0.2391 0.5000 0.7622
Pa 0.7609 0.5000 0.2378
Pa 0.7742 0.0000 0.7750
P 0.0000 0.0000 0.5000
C 0.0000 0.5000 0.0000
S 0.5000 0.0000 0.0000
S 0.5000 0.5000 0.5000